[1]
A geometry-optimized MgZrTaV2 structure. Source: Alexandria, functional PBE. Values from VASP.

Geometry as Quantum ESPRESSO input:
```
&SYSTEM
  ibrav = 0, nat = 5, ntyp = 4
/
ATOMIC_SPECIES
V 50.94 V.upf
Zr 91.22 Zr.upf
Mg 24.30 Mg.upf
Ta 180.95 Ta.upf
CELL_PARAMETERS angstrom
4.7161 0.0000 0.0000
0.0000 5.1573 0.0000
0.0000 0.0000 4.7161
ATOMIC_POSITIONS crystal
V 0.0000 0.0000 0.5000
V 0.5000 0.0000 0.0000
Zr 0.0000 0.5000 0.0000
Mg 0.5000 0.5000 0.5000
Ta 0.0000 0.0000 0.0000
```

Summary:
* spin magnetization: 0.470 μB per atom
* calculated formation energy: 1159 meV per atom
* DOS(E_F): 4.7 states/eV/cell

[2]
A geometry-optimized CrTcH2 structure. Source: Alexandria, functional PBE. Values from VASP.

Geometry as Quantum ESPRESSO input:
```
&SYSTEM
  ibrav = 0, nat = 4, ntyp = 3
/
ATOMIC_SPECIES
H 1.01 H.upf
Cr 52.00 Cr.upf
Tc 98.00 Tc.upf
CELL_PARAMETERS angstrom
0.0000 2.5538 2.5538
2.5538 0.0000 2.5538
2.5538 2.5538 0.0000
ATOMIC_POSITIONS crystal
H 0.7500 0.7500 0.7500
H 0.2500 0.2500 0.2500
Cr 0.0000 0.0000 0.0000
Tc 0.5000 0.5000 0.5000
```

Summary:
* spin magnetization: 0.399 μB per atom
* DOS(E_F): 4.1 states/eV/cell
* energy above the lowest structure with this stoichiometry: 281 kJ/mol of formula units

[3]
A geometry-optimized Rb4Er3BiO8 structure. Source: Alexandria, functional PBE. Values from VASP.

Geometry as Quantum ESPRESSO input:
```
&SYSTEM
  ibrav = 0, nat = 16, ntyp = 4
/
ATOMIC_SPECIES
O 16.00 O.upf
Er 167.26 Er.upf
Rb 85.47 Rb.upf
Bi 208.98 Bi.upf
CELL_PARAMETERS angstrom
-1.1975 -6.8612 1.0147
7.6005 -1.3210 0.0376
-2.4623 4.7207 4.6035
ATOMIC_POSITIONS crystal
O 0.2336 0.6790 0.9454
O 0.2882 0.3210 0.0546
O 0.2755 0.3266 0.5510
O 0.7118 0.6790 0.9454
O 0.2336 0.6790 0.4672
O 0.7245 0.6734 0.4490
O 0.7664 0.3210 0.5328
O 0.7664 0.3210 0.0546
Er 0.0000 0.5000 0.5000
Er 0.5000 0.5000 0.5000
Er 0.5000 0.5000 0.0000
Rb 0.5000 0.0000 0.0000
Rb 0.5000 0.0000 0.5000
Rb 0.0000 0.0000 0.0000
Rb 0.0000 0.0000 0.5000
Bi 0.0000 0.5000 0.0000
```

Summary:
* spin magnetization: 0.000 μB per atom
* DOS(E_F): 0.0 states/eV/cell
* uncorrected formation energy: -2.362 eV/atom

[4]
A geometry-optimized Cu2AgS2 structure. Source: Alexandria, functional PBE. Values from VASP.

Geometry as Quantum ESPRESSO input:
```
&SYSTEM
  ibrav = 0, nat = 5, ntyp = 3
/
ATOMIC_SPECIES
Cu 63.55 Cu.upf
Ag 107.87 Ag.upf
S 32.06 S.upf
CELL_PARAMETERS angstrom
-3.4707 0.9898 1.8554
1.8290 -0.3461 3.6059
1.6805 6.3480 -0.2430
ATOMIC_POSITIONS crystal
Cu 0.5000 0.5000 0.8144
Cu 0.5000 0.5000 0.1856
Ag 0.0000 0.0000 0.0000
S 0.5000 0.0000 0.2756
S 0.0000 0.5000 0.7244
```

Summary:
* spin magnetization: 0.000 μB per atom
* DOS(E_F): 4.9 states/eV/cell
* uncorrected formation energy: 0.080 eV/atom

[5]
A geometry-optimized K3SrBi2S6 structure. Source: Alexandria, functional PBE. Values from VASP.

Geometry as Quantum ESPRESSO input:
```
&SYSTEM
  ibrav = 0, nat = 12, ntyp = 4
/
ATOMIC_SPECIES
Bi 208.98 Bi.upf
S 32.06 S.upf
K 39.10 K.upf
Sr 87.62 Sr.upf
CELL_PARAMETERS angstrom
7.2656 -0.0032 -0.0031
-3.6338 6.2916 -0.0031
-1.2145 -2.1028 7.4615
ATOMIC_POSITIONS crystal
Bi 0.6670 0.3330 0.0000
Bi 0.3330 0.6670 0.0000
S 0.7202 0.7202 0.2106
S 0.4210 0.0704 0.2107
S 0.2798 0.2798 0.7894
S 0.5790 0.9296 0.7893
S 0.0704 0.4210 0.2107
S 0.9296 0.5790 0.7893
K 0.5000 0.5000 0.5000
K 0.1642 0.8358 0.5000
K 0.8358 0.1642 0.5000
Sr 0.0000 0.0000 0.0000
```

Summary:
* spin magnetization: 0.000 μB per atom
* DOS(E_F): 12.5 states/eV/cell
* uncorrected formation energy: -0.994 eV/atom

[6]
A geometry-optimized Ce8BiSb5 structure. Source: Alexandria, functional PBE. Values from VASP.

Geometry as Quantum ESPRESSO input:
```
&SYSTEM
  ibrav = 0, nat = 14, ntyp = 3
/
ATOMIC_SPECIES
Bi 208.98 Bi.upf
Ce 140.12 Ce.upf
Sb 121.76 Sb.upf
CELL_PARAMETERS angstrom
-4.6382 -3.2157 5.9870
-4.0590 -0.4131 -7.1451
7.0285 -4.2380 -0.5815
ATOMIC_POSITIONS crystal
Bi 0.2500 0.5000 0.7500
Ce 0.6304 0.3982 0.8767
Ce 0.7677 0.2462 0.3696
Ce 0.6322 0.9033 0.8758
Ce 0.9725 0.0967 0.7289
Ce 0.1242 0.7565 0.0275
Ce 0.4785 0.6018 0.2323
Ce 0.2711 0.2435 0.3678
Ce 0.1233 0.7538 0.5215
Sb 0.7500 0.6216 0.6249
Sb 0.0032 0.3784 0.1284
Sb 0.3751 0.1252 0.9968
Sb 0.8716 0.8748 0.2500
Sb 0.5000 0.0000 0.5000
```

Summary:
* spin magnetization: 0.846 μB per atom
* DOS(E_F): 58.8 states/eV/cell
* uncorrected formation energy: -0.876 eV/atom

[7]
A geometry-optimized La8Dy6Mg structure. Source: Alexandria, functional PBE. Values from VASP.

Geometry as Quantum ESPRESSO input:
```
&SYSTEM
  ibrav = 0, nat = 15, ntyp = 3
/
ATOMIC_SPECIES
Dy 162.50 Dy.upf
La 138.91 La.upf
Mg 24.30 Mg.upf
CELL_PARAMETERS angstrom
-6.0245 -2.7370 -0.9734
2.0324 -1.2438 -9.0816
2.0454 -6.7186 6.2314
ATOMIC_POSITIONS crystal
Dy 0.6539 0.6573 0.1000
Dy 0.3461 0.5573 0.6573
Dy 0.6539 0.9000 0.5573
Dy 0.3461 0.3427 0.9000
Dy 0.6539 0.4427 0.3427
Dy 0.3461 0.1000 0.4427
La 0.1712 0.7628 0.0461
La 0.8288 0.0461 0.2834
La 0.1273 0.6667 0.3333
La 0.1712 0.9539 0.7166
La 0.8288 0.2372 0.9539
La 0.1712 0.2834 0.2372
La 0.8288 0.7166 0.7628
La 0.8727 0.3333 0.6667
Mg 0.5000 0.0000 0.0000
```

Summary:
* spin magnetization: 0.000 μB per atom
* calculated formation energy: 127 meV per atom
* DOS(E_F): 21.8 states/eV/cell

[8]
A geometry-optimized Mn2SiAsPt structure. Source: Alexandria, functional PBE. Values from VASP.

Geometry as Quantum ESPRESSO input:
```
&SYSTEM
  ibrav = 0, nat = 5, ntyp = 4
/
ATOMIC_SPECIES
Mn 54.94 Mn.upf
Si 28.09 Si.upf
As 74.92 As.upf
Pt 195.08 Pt.upf
CELL_PARAMETERS angstrom
-0.5245 -0.3050 4.4675
-0.8114 -4.5682 -0.4071
4.4084 -0.8242 0.4613
ATOMIC_POSITIONS crystal
Mn 0.0000 0.0000 0.5000
Mn 0.5000 0.0000 0.0000
Si 0.0000 0.5000 0.0000
As 0.0000 0.0000 0.0000
Pt 0.5000 0.5000 0.5000
```

Summary:
* spin magnetization: 1.427 μB per atom
* DOS(E_F): 3.1 states/eV/cell
* uncorrected formation energy: 0.773 eV/atom